{"formula": "PrY2Er6Tm", "functional": "PBE-GGA", "state": "optimized geometry", "cell": [[8.910, -1.861, -1.931], [0.963, 8.503, -1.944], [0.963, -2.258, 8.425]], "species": ["Er", "Er", "Er", "Er", "Er", "Er", "Er", "Er", "Er", "Er", "Er", "Er", "Tm", "Tm", "Y", "Y", "Y", "Y", "Pr", "Pr"], "fractional_positions": [[0.941, 0.878, 0.241], [0.559, 0.759, 0.122], [0.183, 0.557, 0.010], [0.612, 0.479, 0.710], [0.888, 0.290, 0.521], [0.817, 0.443, 0.990], [0.441, 0.241, 0.878], [0.317, 0.990, 0.443], [0.059, 0.122, 0.759], [0.112, 0.710, 0.479], [0.683, 0.010, 0.557], [0.388, 0.521, 0.290], [0.250, 0.412, 0.588], [0.750, 0.588, 0.412], [0.552, 0.204, 0.306], [0.052, 0.306, 0.204], [0.948, 0.694, 0.796], [0.448, 0.796, 0.694], [0.250, 0.965, 0.035], [0.750, 0.035, 0.965]], "delta_e_f_kj_per_mol_fu": 122, "dft_energy_ev_per_atom": -4.83, "sg": "C2/c"}

{"formula": "ZrAl", "functional": "PBE-GGA", "state": "optimized geometry", "cell": [[-1.440, 4.558, -2.042], [-3.502, 2.439, -2.966], [-3.696, 3.652, -0.122]], "species": ["Al", "Zr"], "fractional_positions": [[0.000, 0.000, 0.000], [0.500, 0.500, 0.500]], "delta_e_f_kj_per_mol_fu": -36, "dft_energy_ev_per_atom": -6.33, "sg": "R-3m"}

{"formula": "FeNi", "functional": "PBE-GGA", "state": "optimized geometry", "cell": [[3.970, 0.000, 0.000], [-1.985, 3.439, 0.000], [0.000, 0.000, 4.698]], "species": ["Ni", "Ni", "Fe", "Fe"], "fractional_positions": [[0.333, 0.667, 0.750], [0.667, 0.333, 0.250], [0.667, 0.333, 0.750], [0.333, 0.667, 0.250]], "delta_e_f_kj_per_mol_fu": 175, "dft_energy_ev_per_atom": -6.22, "sg": "P6_3/mmc"}

{"formula": "AcDyAlGa", "functional": "PBE-GGA", "state": "optimized geometry", "cell": [[-4.994, 1.819, -0.542], [-3.739, -1.358, 3.566], [-1.896, 3.654, 3.405]], "species": ["Dy", "Al", "Ga", "Ac"], "fractional_positions": [[0.500, 0.500, 0.500], [0.750, 0.750, 0.750], [0.250, 0.250, 0.250], [0.000, 0.000, 0.000]], "delta_e_f_kj_per_mol_fu": -139, "dft_energy_ev_per_atom": -4.23, "sg": "F-43m"}

{"formula": "KDy2NpO8", "functional": "PBE-GGA", "state": "optimized geometry", "cell": [[-3.158, 0.365, -2.352], [0.192, -5.304, -0.347], [-4.813, -0.591, 6.368]], "species": ["O", "O", "O", "O", "O", "O", "O", "O", "Dy", "Dy", "K", "Np"], "fractional_positions": [[0.024, 0.757, 0.199], [0.025, 0.758, 0.801], [0.553, 0.367, 0.500], [0.975, 0.242, 0.199], [0.531, 0.768, 0.000], [0.469, 0.232, 0.000], [0.976, 0.243, 0.801], [0.447, 0.633, 0.500], [0.500, 0.500, 0.776], [0.500, 0.500, 0.224], [0.000, 0.000, 0.500], [0.000, 0.000, 0.000]], "dft_energy_ev_per_atom": -7.88, "e_form_raw_ev_per_fu": -31.6, "sg": "P2/m"}

{"formula": "PW2Br2", "functional": "PBE-GGA", "state": "optimized geometry", "cell": [[4.264, 0.000, 0.000], [0.000, 4.264, 0.000], [2.132, 2.132, 5.527]], "species": ["Br", "Br", "W", "W", "P"], "fractional_positions": [[0.628, 0.628, 0.744], [0.372, 0.372, 0.256], [0.750, 0.250, 0.500], [0.250, 0.750, 0.500], [0.000, 0.000, 0.000]], "dft_energy_ev_per_atom": -5.47, "e_form_raw_ev_per_fu": 7.3, "sg": "I4/mmm", "de_polymorph_mev_per_atom": 0}

{"formula": "YEr3", "functional": "PBE-GGA", "state": "optimized geometry", "cell": [[4.979, 0.000, 0.000], [0.000, 4.979, 0.000], [-2.489, -2.489, 4.988]], "species": ["Er", "Er", "Er", "Y"], "fractional_positions": [[0.500, 0.500, 0.000], [0.250, 0.750, 0.500], [0.750, 0.250, 0.500], [0.000, 0.000, 0.000]], "delta_e_f_kj_per_mol_fu": 10, "dft_energy_ev_per_atom": -5.01, "sg": "I4/mmm", "de_polymorph_mev_per_atom": 27}

{"formula": "TaAu", "functional": "PBE-GGA", "state": "optimized geometry", "cell": [[2.930, 0.000, 0.000], [-1.465, 2.538, 0.000], [0.000, 0.000, 4.808]], "species": ["Au", "Ta"], "fractional_positions": [[0.000, 0.000, 0.000], [0.333, 0.667, 0.500]], "delta_e_f_kj_per_mol_fu": 11, "dft_energy_ev_per_atom": -7.51, "sg": "P-6m2"}

{"formula": "DyYHg", "functional": "PBE-GGA", "state": "optimized geometry", "cell": [[3.621, 0.000, 0.000], [0.000, 3.621, 0.000], [-1.810, -1.810, 6.443]], "species": ["Dy", "Y", "Hg"], "fractional_positions": [[0.014, 0.014, 0.027], [0.321, 0.321, 0.641], [0.666, 0.666, 0.332]], "delta_e_f_kj_per_mol_fu": -91, "dft_energy_ev_per_atom": -4.10, "sg": "I4mm", "de_polymorph_mev_per_atom": 68}

{"formula": "RbLi3Mn", "functional": "PBE-GGA", "state": "optimized geometry", "cell": [[-1.710, -4.822, 2.017], [4.893, -2.224, -1.168], [1.840, 1.431, 4.982]], "species": ["Li", "Li", "Li", "Mn", "Rb"], "fractional_positions": [[0.000, 0.500, 0.000], [0.500, 0.000, 0.000], [0.000, 0.000, 0.500], [0.000, 0.000, 0.000], [0.500, 0.500, 0.500]], "delta_e_f_kj_per_mol_fu": 277, "dft_energy_ev_per_atom": -2.60, "sg": "Pm-3m", "de_polymorph_mev_per_atom": 0}

{"formula": "LiAcAu3", "functional": "PBE-GGA", "state": "optimized geometry", "cell": [[4.833, 0.000, 0.000], [0.000, 4.833, 0.000], [0.000, 0.000, 4.833]], "species": ["Au", "Au", "Au", "Ac", "Li"], "fractional_positions": [[0.000, 0.000, 0.500], [0.500, 0.000, 0.000], [0.000, 0.500, 0.000], [0.500, 0.500, 0.500], [0.000, 0.000, 0.000]], "delta_e_f_kj_per_mol_fu": -270, "dft_energy_ev_per_atom": -3.73, "sg": "Pm-3m", "de_polymorph_mev_per_atom": 29}

{"formula": "CsAu2Cl2", "functional": "PBE-GGA", "state": "optimized geometry", "cell": [[-7.430, 4.599, 3.760], [-2.091, -7.660, 5.238], [2.049, 1.203, 2.577]], "species": ["Au", "Au", "Au", "Au", "Cl", "Cl", "Cl", "Cl", "Cs", "Cs"], "fractional_positions": [[0.902, 0.402, 0.500], [0.098, 0.598, 0.500], [0.402, 0.098, 0.500], [0.598, 0.902, 0.500], [0.746, 0.754, 0.000], [0.254, 0.246, 0.000], [0.754, 0.254, 0.000], [0.246, 0.746, 0.000], [0.000, 0.000, 0.000], [0.500, 0.500, 0.000]], "dft_energy_ev_per_atom": -2.58, "e_form_raw_ev_per_fu": -1.8, "sg": "P4/mbm", "de_polymorph_mev_per_atom": 159}

{"formula": "RbReTe", "functional": "PBE-GGA", "state": "optimized geometry", "cell": [[3.794, 0.000, 0.000], [0.976, 5.263, 0.000], [0.519, 2.572, 9.076]], "species": ["Re", "Re", "Rb", "Rb", "Te", "Te"], "fractional_positions": [[0.303, 0.355, 0.500], [0.697, 0.645, 0.500], [0.016, 0.686, 0.129], [0.984, 0.314, 0.871], [0.497, 0.895, 0.713], [0.503, 0.105, 0.287]], "dft_energy_ev_per_atom": -5.39, "e_form_raw_ev_per_fu": 0.4, "sg": "P-1", "de_polymorph_mev_per_atom": 50}

{"formula": "Pr5Sm5Th2", "functional": "PBE-GGA", "state": "optimized geometry", "cell": [[5.848, 0.000, 1.319], [3.219, 8.035, -0.650], [0.953, -2.082, 9.395]], "species": ["Sm", "Sm", "Sm", "Sm", "Sm", "Th", "Th", "Pr", "Pr", "Pr", "Pr", "Pr"], "fractional_positions": [[0.695, 0.720, 0.890], [0.358, 0.985, 0.298], [0.305, 0.280, 0.110], [0.000, 0.500, 0.500], [0.642, 0.015, 0.702], [0.316, 0.506, 0.863], [0.684, 0.494, 0.137], [0.000, 0.000, 0.000], [0.985, 0.755, 0.275], [0.656, 0.258, 0.430], [0.015, 0.245, 0.725], [0.344, 0.742, 0.570]], "delta_e_f_kj_per_mol_fu": 144, "dft_energy_ev_per_atom": -5.07, "sg": "C2/m"}

{"formula": "TlAgSn", "functional": "PBE-GGA", "state": "optimized geometry", "cell": [[-2.588, 2.197, 0.568], [-0.479, -2.734, -2.035], [-2.098, -3.980, 5.839]], "species": ["Ag", "Sn", "Tl"], "fractional_positions": [[0.667, 0.333, 0.342], [0.333, 0.667, 0.639], [0.000, 0.000, 0.020]], "delta_e_f_kj_per_mol_fu": 31, "dft_energy_ev_per_atom": -2.97, "sg": "P3m1", "de_polymorph_mev_per_atom": 75}

{"formula": "SrCuSi4", "functional": "PBE-GGA", "state": "optimized geometry", "cell": [[0.000, 3.765, 3.765], [3.765, 0.000, 3.765], [3.765, 3.765, 0.000]], "species": ["Si", "Si", "Si", "Si", "Sr", "Cu"], "fractional_positions": [[0.882, 0.373, 0.373], [0.373, 0.373, 0.882], [0.373, 0.373, 0.373], [0.373, 0.882, 0.373], [0.750, 0.750, 0.750], [0.000, 0.000, 0.000]], "dft_energy_ev_per_atom": -4.37, "e_form_raw_ev_per_fu": 1.3, "sg": "F-43m"}

{"formula": "LiZr3Ta3N8", "functional": "PBE-GGA", "state": "optimized geometry", "cell": [[-5.601, -2.754, 0.323], [4.108, -0.718, 4.655], [-2.769, 5.526, -0.900]], "species": ["Li", "N", "N", "N", "N", "N", "N", "N", "N", "Zr", "Zr", "Zr", "Ta", "Ta", "Ta"], "fractional_positions": [[0.000, 0.000, 0.500], [0.234, 0.987, 0.241], [0.246, 0.013, 0.759], [0.754, 0.987, 0.241], [0.246, 0.492, 0.238], [0.754, 0.508, 0.762], [0.754, 0.507, 0.241], [0.766, 0.013, 0.759], [0.246, 0.493, 0.759], [0.500, 0.500, 0.500], [0.000, 0.500, 0.500], [0.500, 0.000, 0.500], [0.000, 0.500, 0.000], [0.000, 0.000, 0.000], [0.500, 0.500, 0.000]], "dft_energy_ev_per_atom": -9.91, "e_form_raw_ev_per_fu": -18.9, "sg": "R-3m"}

{"formula": "PrSm5Ho2", "functional": "PBE-GGA", "state": "optimized geometry", "cell": [[5.096, 0.000, 0.000], [0.000, 7.229, 0.000], [0.000, 0.000, 14.459]], "species": ["Sm", "Sm", "Sm", "Sm", "Sm", "Sm", "Sm", "Sm", "Sm", "Sm", "Ho", "Ho", "Ho", "Ho", "Pr", "Pr"], "fractional_positions": [[0.000, 0.501, 0.251], [0.500, 0.751, 0.125], [0.500, 0.249, 0.875], [0.000, 0.499, 0.749], [0.500, 0.251, 0.375], [0.000, 0.500, 0.500], [0.000, 0.999, 0.751], [0.500, 0.749, 0.625], [0.000, 0.000, 0.000], [0.000, 0.001, 0.249], [0.500, 0.250, 0.626], [0.500, 0.750, 0.874], [0.500, 0.750, 0.374], [0.500, 0.250, 0.126], [0.000, 0.000, 0.500], [0.000, 0.500, 0.000]], "delta_e_f_kj_per_mol_fu": 12, "dft_energy_ev_per_atom": -4.68, "sg": "Pbam", "de_polymorph_mev_per_atom": 0}

{"formula": "BaSbAs2Br", "functional": "PBE-GGA", "state": "optimized geometry", "cell": [[-3.047, -1.757, 5.448], [5.704, -0.412, 3.058], [-0.447, 5.764, 1.609]], "species": ["As", "As", "Sb", "Br", "Ba"], "fractional_positions": [[0.000, 0.500, 0.000], [0.500, 0.000, 0.000], [0.500, 0.500, 0.500], [0.000, 0.000, 0.500], [0.000, 0.000, 0.000]], "dft_energy_ev_per_atom": -2.83, "e_form_raw_ev_per_fu": 2.8, "sg": "P4/mmm", "de_polymorph_mev_per_atom": 945}

{"formula": "Nb2SiGe2", "functional": "PBE-GGA", "state": "optimized geometry", "cell": [[-5.754, -1.564, -3.412], [3.349, -4.959, -3.374], [-0.910, -2.410, 2.639]], "species": ["Ge", "Ge", "Ge", "Ge", "Si", "Si", "Nb", "Nb", "Nb", "Nb"], "fractional_positions": [[0.858, 0.358, 0.500], [0.358, 0.142, 0.500], [0.642, 0.858, 0.500], [0.142, 0.642, 0.500], [0.500, 0.500, 0.000], [0.000, 0.000, 0.000], [0.158, 0.342, 0.000], [0.842, 0.658, 0.000], [0.342, 0.842, 0.000], [0.658, 0.158, 0.000]], "dft_energy_ev_per_atom": -7.17, "e_form_raw_ev_per_fu": -1.0, "sg": "P4/mbm", "de_polymorph_mev_per_atom": 0}